--- i ---
BaFe2Cl | Alexandria | PBE-GGA | optimized geometry; magnetic moment = 6.38 Bohr magnetons per cell
1.0
6.222 0.010 0.000
-3.662 5.030 0.000
0.000 0.000 3.441
Cl Ba Fe
1 1 2
direct
0.000 0.500 0.500 Cl
0.500 0.000 0.500 Ba
0.000 0.000 0.000 Fe
0.500 0.500 0.000 Fe

--- ii ---
BaFe2Cl | Alexandria | PBE-GGA | optimized geometry; magnetic moment = 6.54 Bohr magnetons per cell
1.0
-1.921 -0.135 4.745
2.662 -4.273 0.942
2.412 4.198 -1.661
Cl Ba Fe
1 1 2
direct
0.750 0.250 0.500 Cl
0.500 0.500 0.000 Ba
0.000 0.000 0.000 Fe
0.250 0.750 0.500 Fe

It is ii that is most stable; the runner-up trails by 0.119 eV/atom.

--- i ---
SrLa2Cu | Alexandria | PBE-GGA | optimized geometry; magnetic moment = 0.00 Bohr magnetons per cell
1.0
-8.126 2.701 -2.815
-3.111 -0.559 8.442
-4.730 4.306 3.354
Sr Cu La
2 2 4
direct
0.000 0.000 0.000 Sr
0.750 0.250 0.500 Sr
0.500 0.500 0.000 Cu
0.250 0.750 0.500 Cu
0.556 0.125 0.250 La
0.194 0.625 0.250 La
0.375 0.444 0.750 La
0.875 0.806 0.750 La

--- ii ---
SrLa2Cu | Alexandria | PBE-GGA | optimized geometry; magnetic moment = 0.01 Bohr magnetons per cell
1.0
-1.588 0.033 3.678
-0.943 -3.450 1.805
8.906 -1.600 6.042
Sr La Cu
1 2 1
direct
0.500 0.500 0.501 Sr
0.059 0.059 0.824 La
0.275 0.275 0.175 La
0.667 0.667 0.000 Cu

It is ii that is most stable; the runner-up trails by 0.052 eV/atom.

--- i ---
ReW2Au | Alexandria | PBE-GGA | optimized geometry; magnetic moment = 0.00 Bohr magnetons per cell
1.0
4.515 0.000 0.000
2.258 3.910 0.000
2.258 1.303 3.687
Au Re W
1 1 2
direct
0.500 0.500 0.500 Au
0.750 0.750 0.750 Re
0.000 0.000 0.000 W
0.250 0.250 0.250 W

--- ii ---
ReW2Au | Alexandria | PBE-GGA | optimized geometry; magnetic moment = 0.00 Bohr magnetons per cell
1.0
-2.655 4.090 0.090
-2.759 3.027 -2.647
-4.419 -1.768 0.855
Au Re W
1 1 2
direct
0.501 0.501 0.504 Au
0.255 0.255 0.238 Re
0.998 0.998 0.008 W
0.746 0.746 0.749 W

It is ii that is most stable; the runner-up trails by 0.184 eV/atom.

--- i ---
ScIBr3 | Alexandria | PBE-GGA | optimized geometry; magnetic moment = 1.64 Bohr magnetons per cell
1.0
4.223 -2.438 0.000
0.000 4.876 0.000
0.000 0.000 20.787
I Sc Br
2 2 6
direct
0.333 0.667 0.750 I
0.667 0.333 0.250 I
0.000 0.000 0.000 Sc
0.000 0.000 0.500 Sc
0.000 0.000 0.250 Br
0.000 0.000 0.750 Br
0.333 0.667 0.949 Br
0.333 0.667 0.551 Br
0.667 0.333 0.449 Br
0.667 0.333 0.051 Br

--- ii ---
ScIBr3 | Alexandria | PBE-GGA | optimized geometry; magnetic moment = 1.15 Bohr magnetons per cell
1.0
11.276 0.000 0.000
0.000 6.746 0.000
0.000 0.000 13.382
I Sc Br
4 4 12
direct
0.000 0.000 0.500 I
0.500 0.500 0.000 I
0.500 0.000 0.000 I
0.000 0.500 0.500 I
0.451 0.250 0.546 Sc
0.049 0.750 0.046 Sc
0.549 0.750 0.454 Sc
0.951 0.250 0.954 Sc
0.119 0.000 0.908 Br
0.381 0.500 0.408 Br
0.381 0.000 0.408 Br
0.881 0.500 0.092 Br
0.881 0.000 0.092 Br
0.619 0.500 0.592 Br
0.619 0.000 0.592 Br
0.119 0.500 0.908 Br
0.306 0.250 0.681 Br
0.194 0.750 0.181 Br
0.694 0.750 0.319 Br
0.806 0.250 0.819 Br

It is ii that is most stable; the runner-up trails by 0.694 eV/atom.

--- i ---
HoHfCu2 | Alexandria | PBE-GGA | optimized geometry; magnetic moment = 0.35 Bohr magnetons per cell
1.0
3.299 0.000 0.000
0.000 4.744 0.000
0.000 0.000 4.744
Hf Ho Cu
1 1 2
direct
0.500 0.000 0.000 Hf
0.500 0.500 0.500 Ho
0.000 0.000 0.500 Cu
0.000 0.500 0.000 Cu

--- ii ---
HoHfCu2 | Alexandria | PBE-GGA | optimized geometry; magnetic moment = 0.01 Bohr magnetons per cell
1.0
-3.514 -0.028 3.154
-1.308 -4.052 2.041
0.933 -0.752 4.568
Hf Ho Cu
1 1 2
direct
0.500 0.500 0.500 Hf
0.000 0.000 0.000 Ho
0.250 0.250 0.250 Cu
0.750 0.750 0.750 Cu

It is i that is most stable; the runner-up trails by 0.016 eV/atom.

--- i ---
AlSb2IF | Alexandria | PBE-GGA | optimized geometry; magnetic moment = 0.00 Bohr magnetons per cell
1.0
4.715 0.000 0.000
0.000 4.715 0.000
0.000 0.000 6.219
I Sb Al F
1 2 1 1
direct
0.000 0.000 0.500 I
0.000 0.500 0.000 Sb
0.500 0.000 0.000 Sb
0.500 0.500 0.500 Al
0.000 0.000 0.000 F

--- ii ---
AlSb2IF | Alexandria | PBE-GGA | optimized geometry; magnetic moment = 0.00 Bohr magnetons per cell
1.0
5.272 0.000 0.000
0.000 5.272 0.000
0.000 0.000 5.434
I Sb Al F
1 2 1 1
direct
0.000 0.000 0.500 I
0.000 0.500 0.000 Sb
0.500 0.000 0.000 Sb
0.000 0.000 0.000 Al
0.500 0.500 0.500 F

It is i that is most stable; the runner-up trails by 0.146 eV/atom.

--- i ---
MgC3 | Alexandria | PBE-GGA | optimized geometry; magnetic moment = 0.00 Bohr magnetons per cell
1.0
-0.040 2.973 7.560
-1.839 -6.454 -4.577
2.342 -0.937 0.381
Mg C
2 6
direct
0.675 0.325 0.250 Mg
0.325 0.675 0.750 Mg
0.196 0.804 0.250 C
0.804 0.196 0.750 C
0.002 0.275 0.250 C
0.998 0.725 0.750 C
0.275 0.002 0.750 C
0.725 0.998 0.250 C

--- ii ---
MgC3 | Alexandria | PBE-GGA | optimized geometry; magnetic moment = 0.00 Bohr magnetons per cell
1.0
-2.179 1.526 -0.321
-1.020 -0.764 3.294
1.835 2.884 1.249
Mg C
1 3
direct
0.500 0.250 0.250 Mg
0.000 0.750 0.059 C
0.500 0.750 0.750 C
0.000 0.750 0.441 C

--- iii ---
MgC3 | Alexandria | PBE-GGA | optimized geometry; magnetic moment = 0.00 Bohr magnetons per cell
1.0
3.471 0.054 0.000
-0.923 3.346 0.000
0.000 0.000 3.058
Mg C
1 3
direct
0.000 0.000 0.000 Mg
0.000 0.500 0.500 C
0.500 0.000 0.500 C
0.500 0.500 0.000 C

It is i that is most stable; the runner-up trails by 0.175 eV/atom.

--- i ---
MnMoCl2 | Alexandria | PBE-GGA | optimized geometry; magnetic moment = 0.00 Bohr magnetons per cell
1.0
5.253 0.000 0.000
0.000 5.253 0.000
2.626 2.626 5.070
Mo Mn Cl
2 2 4
direct
0.000 0.000 0.000 Mo
0.750 0.250 0.500 Mo
0.500 0.500 0.000 Mn
0.250 0.750 0.500 Mn
0.597 0.125 0.250 Cl
0.153 0.625 0.250 Cl
0.375 0.403 0.750 Cl
0.875 0.847 0.750 Cl

--- ii ---
MnMoCl2 | Alexandria | PBE-GGA | optimized geometry; magnetic moment = 2.82 Bohr magnetons per cell
1.0
7.481 -0.013 0.049
6.862 2.979 0.049
1.087 0.225 4.279
Mo Mn Cl
1 1 2
direct
0.250 0.250 0.250 Mo
0.750 0.750 0.750 Mn
0.888 0.888 0.087 Cl
0.612 0.612 0.413 Cl

It is ii that is most stable; the runner-up trails by 0.813 eV/atom.